DFT (GGA-PBE) results for a relaxed structure of AlTeO4.

DFT total energy   -6.134 eV per atom
Formation energy (no corrections)   -1.681 eV/atom
Spin magnetization   0.000 μB per atom
Crystal system   monoclinic
Space group   No. 12

The structure in POSCAR format:
```
AlTeO4
1.0
-4.220 3.234 -2.446
1.618 1.595 -4.946
-0.208 -6.340 1.817
O Al Te
8 2 2
direct
0.430 0.976 0.700
0.976 0.430 0.705
0.506 0.494 0.817
0.570 0.024 0.300
0.964 0.036 0.201
0.036 0.964 0.799
0.494 0.506 0.183
0.024 0.570 0.295
0.715 0.285 0.034
0.285 0.715 0.966
0.000 0.000 0.500
0.500 0.500 0.500
```


DFT (GGA-PBE) results for a relaxed structure of TiAl3.

DFT total energy   -5.158 eV per atom
Spin magnetization   0.000 μB per atom
Energy of formation from the pure elements   -0.377 eV/atom
Crystal system   cubic
Space group   No. 221

The structure in POSCAR format:
```
TiAl3
1.0
-3.826 -0.153 1.077
0.196 -3.971 0.131
1.070 0.179 3.827
Al Ti
3 1
direct
0.500 0.000 0.500
0.500 0.500 0.000
0.000 0.500 0.500
0.000 0.000 0.000
```


DFT (GGA-PBE) results for a relaxed structure of CuRh6W2.

DFT total energy   -8.136 eV per atom
Spin magnetization   0.000 μB per atom
Energy of formation from the pure elements   0.099 eV/atom
Crystal system   orthorhombic
Space group   No. 71

The structure in POSCAR format:
```
CuRh6W2
1.0
2.641 0.000 -0.706
-1.494 12.168 -5.586
0.283 -4.509 6.349
W Rh Cu
2 6 1
direct
0.821 0.821 0.641
0.179 0.179 0.359
0.322 0.151 0.644
0.678 0.849 0.356
0.678 0.506 0.356
0.322 0.494 0.644
0.500 0.145 0.000
0.500 0.855 0.000
0.000 0.500 0.000
```


DFT (GGA-PBE) results for a relaxed structure of Y2Er6Tm.

DFT total energy   -4.949 eV per atom
Spin magnetization   0.000 μB per atom
Energy of formation from the pure elements   0.026 eV/atom
Crystal system   tetragonal
Space group   No. 136

The structure in POSCAR format:
```
Y2Er6Tm
1.0
4.975 0.000 0.231
0.000 10.558 0.000
-0.489 0.000 10.546
Er Tm Y
12 2 4
direct
0.500 0.166 0.000
0.500 0.834 0.000
0.000 0.333 0.167
0.000 0.666 0.500
0.500 0.167 0.667
0.500 0.500 0.666
0.000 0.000 0.166
0.000 0.667 0.833
0.000 0.334 0.500
0.500 0.833 0.333
0.000 0.000 0.834
0.500 0.500 0.334
0.000 0.000 0.500
0.500 0.500 0.000
0.000 0.334 0.834
0.500 0.166 0.334
0.500 0.834 0.666
0.000 0.666 0.166
```